# PrNd2TmTl2

A geometry-optimized PrNd2TmTl2 structure (PBE, Alexandria).

Values from the calculation:
**Density of states at the Fermi level**: 6.7 states/eV/f.u.
**Energy relative to the elements**: -266 meV per atom

a = 5.192 Å, b = 10.225 Å, c = 7.013 Å
α = 90.00°, β = 90.00°, γ = 90.00°
Space group Pmc2_1 (No. 26)
Asymmetric unit:
Pr (0.000, 0.047, 0.000)
Nd (0.000, 0.318, 0.378)
Nd (0.500, 0.451, 0.098)
Tm (0.500, 0.190, 0.714)
Tl (0.000, 0.358, 0.838)
Tl (0.500, 0.126, 0.267)



# PuScBiSe

A geometry-optimized PuScBiSe structure (PBE, Alexandria).

Values from the calculation:
**Formation energy without anion corrections**: -1.0168 eV/atom
**Density of states at the Fermi level**: 10.9 states/eV/f.u.

a = 4.1929 Å, b = 4.1929 Å, c = 20.7618 Å
α = 90.00°, β = 90.00°, γ = 120.00°
Space group R3m (No. 160, hexagonal axes)
Asymmetric unit:
Pu (0.0000, 0.0000, 0.0000)
Sc (0.0000, 0.0000, 0.5162)
Bi (0.0000, 0.0000, 0.7649)
Se (0.0000, 0.0000, 0.2529)



# PmNdDyMg

A geometry-optimized PmNdDyMg structure (PBE, Alexandria).

Values from the calculation:
**Density of states at the Fermi level**: 5.7 states/eV/f.u.
**Energy above the lowest structure with this stoichiometry**: 100.0 meV/atom
**Energy relative to the elements**: 67 meV per atom

a = 7.924 Å, b = 7.924 Å, c = 7.924 Å
α = 90.00°, β = 90.00°, γ = 90.00°
Space group F-43m (No. 216)
Asymmetric unit:
Pm (0.000, 0.000, 0.000)
Nd (0.250, 0.250, 0.250)
Dy (0.250, 0.250, 0.750)
Mg (0.000, 0.000, 0.500)



# Na5Tl5Hg

A geometry-optimized Na5Tl5Hg structure (PBE, Alexandria).

Values from the calculation:
**Density of states at the Fermi level**: 6.0 states/eV/f.u.
**Energy relative to the elements**: -32 meV per atom

a = 6.1819 Å, b = 6.1819 Å, c = 11.2101 Å
α = 90.00°, β = 90.00°, γ = 120.00°
Space group P-6m2 (No. 187)
Asymmetric unit:
Na (0.0000, 0.0000, 0.0000)
Na (0.3333, 0.6667, 0.3218)
Na (0.6667, 0.3333, 0.2078)
Tl (0.0000, 0.0000, 0.2621)
Tl (0.3383, 0.1691, 0.5000)
Hg (0.3333, 0.6667, 0.0000)



# La5PmSn6

A geometry-optimized La5PmSn6 structure (PBE, Alexandria).

Values from the calculation:
**Density of states at the Fermi level**: 9.7 states/eV/f.u.
**Energy relative to the elements**: -726 meV per atom

a = 5.092 Å, b = 9.167 Å, c = 15.272 Å
α = 90.00°, β = 90.00°, γ = 90.00°
Space group Immm (No. 71)
Asymmetric unit:
La (0.000, 0.000, 0.000)
La (0.000, 0.000, 0.333)
La (0.000, 0.500, 0.333)
Pm (0.000, 0.500, 0.000)
Sn (0.000, 0.247, 0.500)
Sn (0.000, 0.252, 0.165)



# Ir2Rh

A geometry-optimized Ir2Rh structure (PBE, Alexandria).

Values from the calculation:
**Density of states at the Fermi level**: 3.1 states/eV/f.u.
**Energy above the lowest structure with this stoichiometry**: 307.0 meV/atom
**Energy relative to the elements**: 290 meV per atom

a = 2.700 Å, b = 3.946 Å, c = 17.869 Å
α = 90.00°, β = 90.00°, γ = 90.00°
Space group Imma (No. 74)
Asymmetric unit:
Ir (0.000, 0.250, 0.045)
Ir (0.000, 0.250, 0.190)
Rh (0.000, 0.250, 0.618)



# NbAg3B

A geometry-optimized NbAg3B structure (PBE, Alexandria).

Values from the calculation:
**Density of states at the Fermi level**: 5.4 states/eV/f.u.
**Energy above the lowest structure with this stoichiometry**: 1536.4 meV/atom
**Energy relative to the elements**: 2326 meV per atom

a = 5.194 Å, b = 5.194 Å, c = 5.194 Å
α = 90.00°, β = 90.00°, γ = 90.00°
Space group Pm-3m (No. 221)
Asymmetric unit:
Nb (0.000, 0.000, 0.000)
Ag (0.000, 0.000, 0.500)
B (0.500, 0.500, 0.500)



# Al2GePdPb

A geometry-optimized Al2GePdPb structure (PBE, Alexandria).

Values from the calculation:
**Density of states at the Fermi level**: 3.5 states/eV/f.u.
**Energy above the lowest structure with this stoichiometry**: 0.0 meV/atom
**Energy relative to the elements**: 1008 meV per atom

a = 5.301 Å, b = 5.301 Å, c = 5.113 Å
α = 90.00°, β = 90.00°, γ = 90.00°
Space group P4/mmm (No. 123)
Asymmetric unit:
Al (0.000, 0.500, 0.000)
Ge (0.000, 0.000, 0.500)
Pd (0.500, 0.500, 0.500)
Pb (0.500, 0.500, 0.000)